1.
The following is a DFT calculation (PBE) of a geometry-optimized SiTe2 structure.

Output
Raw total energy   -3.75 eV/atom
Density   5.763 g/cm³
ΔE_f (raw)   15.1 kJ per mole of atoms

a = 3.909 Å, b = 14.688 Å, c = 5.687 Å
α = 90.00°, β = 90.00°, γ = 90.00°
Space group Cmcm (No. 63)
Symmetry-distinct sites (fractional):
Si 0.000 0.194 0.250 [4 per cell]
Te 0.000 0.170 0.750 [4 per cell]
Te 0.000 0.432 0.750 [4 per cell]

=====

2.
The following is a DFT calculation (PBE) of a geometry-optimized NiHPt2Au structure.

Output
Raw total energy   -4.73 eV/atom
Excess energy over the best structure of this formula in the dataset   98 meV/atom
Density   16.583 g/cm³

a = 3.936 Å, b = 3.936 Å, c = 4.180 Å
α = 90.00°, β = 90.00°, γ = 90.00°
Space group P4/mmm (No. 123)
Symmetry-distinct sites (fractional):
Ni 0.000 0.000 0.000 [1 per cell]
H 0.500 0.500 0.500 [1 per cell]
Pt 0.000 0.500 0.500 [2 per cell]
Au 0.500 0.500 0.000 [1 per cell]

=====

3.
The following is a DFT calculation (PBE) of a geometry-optimized Ce4Ga2Ge structure.

Output
Raw total energy   -5.27 eV/atom
Energy of formation   -0.351 eV/atom
Density   6.952 g/cm³

a = 5.0907 Å, b = 5.0907 Å, c = 24.6671 Å
α = 90.00°, β = 90.00°, γ = 120.00°
Space group R-3m (No. 166, hexagonal axes)
Symmetry-distinct sites (fractional):
Ce 0.0000 0.0000 0.1222 [6 per cell]
Ce 0.0000 0.0000 0.3745 [6 per cell]
Ga 0.0000 0.0000 0.2439 [6 per cell]
Ge 0.0000 0.0000 0.0000 [3 per cell]

=====

Question: Look up the raw total energy of the second one.
Answer: -4.73 eV/atom